[1]
This record from Alexandria describes a relaxed MgMnAu2 crystal. The functional is PBEsol.

POSCAR file:
```
MgMnAu2
1.0
-1.969 1.969 4.171
1.969 -1.969 4.171
1.969 1.969 -4.171
Mg Mn Au
1 1 2
Direct
0.000 0.000 0.000 Mg
0.750 0.250 0.500 Mn
0.250 0.750 0.500 Au
0.500 0.500 0.000 Au
```

Values from the calculation:
Space-group type ... I-4m2
Formation enthalpy at 0 K ... -0.2065 eV/atom
DOS at the Fermi energy ... 1.81 states/eV/cell
Total magnetic moment ... 1.01 μB per atom

[2]
This record from Alexandria describes a relaxed LiZnSe2 crystal. The functional is PBEsol.

POSCAR file:
```
LiZnSe2
1.0
-2.244 2.244 3.520
2.244 -2.244 3.520
2.244 2.244 -3.520
Li Zn Se
1 1 2
Direct
0.000 0.000 0.000 Li
0.500 0.500 0.000 Zn
0.250 0.750 0.500 Se
0.750 0.250 0.500 Se
```

Values from the calculation:
Space-group type ... I4/mmm
E_form (uncorrected) ... -297 meV per atom
DOS at the Fermi energy ... 1.64 states/eV/cell
Total magnetic moment ... 0.00 μB per atom

[3]
This record from Alexandria describes a relaxed BaCeC2O6F crystal. The functional is PBEsol.

POSCAR file:
```
BaCeC2O6F
1.0
2.526 1.459 12.603
-2.526 1.459 12.603
0.000 -2.917 12.603
Ba Ce C O F
2 2 4 12 2
Direct
0.000 0.000 0.000 Ba
0.500 0.500 0.500 Ba
0.245 0.245 0.245 Ce
0.755 0.755 0.755 Ce
0.107 0.107 0.107 C
0.374 0.374 0.374 C
0.626 0.626 0.626 C
0.893 0.893 0.893 C
0.078 0.520 0.520 O
0.188 0.746 0.746 O
0.254 0.254 0.812 O
0.254 0.812 0.254 O
0.480 0.480 0.922 O
0.480 0.922 0.480 O
0.520 0.078 0.520 O
0.520 0.520 0.078 O
0.746 0.188 0.746 O
0.746 0.746 0.188 O
0.812 0.254 0.254 O
0.922 0.480 0.480 O
0.184 0.184 0.184 F
0.816 0.816 0.816 F
```

Values from the calculation:
Space-group type ... R-3m
E_form (uncorrected) ... -2455 meV per atom
DOS at the Fermi energy ... 16.66 states/eV/cell
Total magnetic moment ... 0.09 μB per atom

[4]
This record from Alexandria describes a relaxed InSi2Mo crystal. The functional is PBEsol.

POSCAR file:
```
InSi2Mo
1.0
4.335 0.000 0.000
0.000 4.335 0.000
0.000 0.000 3.345
In Si Mo
1 2 1
Direct
0.000 0.000 0.000 In
0.000 0.500 0.500 Si
0.500 0.000 0.500 Si
0.500 0.500 0.000 Mo
```

Values from the calculation:
Space-group type ... P4/mmm
E_form (uncorrected) ... 341 meV per atom
DOS at the Fermi energy ... 2.57 states/eV/cell
Total magnetic moment ... 0.00 μB per atom